1.
Compound: CuW
Source: Alexandria
Functional: PBE
Structure: relaxed

Cell lengths 6.1662, 6.1662, 6.1662 Å; angles 90.00, 90.00, 90.00 degrees
With the nearest neighbours (Å) after each atom.
Space group Fd-3m (No. 227, origin choice 2)
Asymmetric unit:
Cu1 0.1250 0.1250 0.1250 (multiplicity 8)  4 Cu 2.67, 4 W 2.67
W1 0.1250 0.1250 0.6250 (multiplicity 8)  4 W 2.67, 4 Cu 2.67

Results
crystal system: cubic



2.
Compound: CuW4
Source: Alexandria
Functional: PBE
Structure: relaxed

Cell lengths 6.0338, 6.0338, 4.3026 Å; angles 90.00, 90.00, 90.00 degrees
With the nearest neighbours (Å) after each atom.
Space group I4/m (No. 87)
Asymmetric unit:
Cu1 0.0000 0.0000 0.0000 (multiplicity 2)  12 W 2.70-2.85
W1 0.1022 0.2937 0.5000 (multiplicity 8)  9 W 2.65-2.91, 3 Cu 2.70-2.85

Results
crystal system: tetragonal



no.,energy above the lowest structure with this stoichiometry (kJ/mol of formula units),energy of formation (eV per atom)
1,59,0.5232
2,0,0.3808